Material: Rb3MgU2O9
Method: DFT, PBE-GGA
State: optimized geometry

Calculated volume: 234.4 Å³ per cell
E_form (uncorrected): -38.14 eV/f.u.
VASP energy: -109.8 eV/f.u.
Total magnetization: 0.7 μB per formula unit

Structure (extended XYZ):
```
15
Lattice="-5.236 2.823 1.147 0.095 -6.007 -0.779 1.089 -0.922 7.237" Properties=species:S:1:pos:R:3 pbc="T T T"
Rb -0.961 -3.673 4.651
Rb 0.000 0.000 0.000
Rb -3.090 -0.432 2.954
Mg 0.544 -0.461 3.619
U -1.490 -3.226 1.136
U -2.561 -0.880 6.469
O -3.584 0.680 5.673
O -3.538 -2.216 5.297
O -1.061 -0.681 5.120
O -2.991 -3.424 2.485
O -0.513 -1.890 2.308
O -0.467 -4.785 1.932
O -2.618 1.411 0.574
O 0.048 -3.003 -0.390
O -2.570 -1.592 0.184
```